Entry 1:
A relaxed Li8Se crystal, computed with PBEsol.

a b c (Å): 9.1044 9.1044 3.8130
angles (deg): 90.00 90.00 90.00
Space group I4/mmm (No. 139)
Asymmetric unit:
Li 0.0000 0.3267 0.0000 x8
Li 0.1512 0.1512 0.5000 x8
Se 0.0000 0.0000 0.0000 x2

Values from the calculation:
- calculated total energy (eV for the cell shown) = -45.4
- formation energy without anion corrections (eV per atom) = -0.35
- V (Å³/cell) = 316



Entry 2:
A relaxed LiSe2 crystal, computed with PBEsol.

a b c (Å): 10.6779 2.8664 7.9284
angles (deg): 90.00 106.67 90.00
Space group C2/m (No. 12)
Asymmetric unit:
Li 0.1279 0.0000 0.9995 x4
Se 0.0236 0.5000 0.2649 x4
Se 0.2378 0.0000 0.7311 x4

Values from the calculation:
- calculated total energy (eV for the cell shown) = -44.1
- formation energy without anion corrections (eV per atom) = -0.45
- V (Å³/cell) = 232
- ΔE to the lowest computed polymorph (meV per atom) = 0



Entry 3:
A relaxed Li2Se crystal, computed with PBEsol.

a b c (Å): 5.9443 5.9443 5.9443
angles (deg): 90.00 90.00 90.00
Space group Fm-3m (No. 225)
Asymmetric unit:
Li 0.2500 0.2500 0.2500 x8
Se 0.0000 0.0000 0.0000 x4

Values from the calculation:
- calculated total energy (eV for the cell shown) = -46.2
- formation energy without anion corrections (eV per atom) = -1.26
- V (Å³/cell) = 210



Entry 4:
A relaxed Li2Se crystal, computed with PBEsol.

a b c (Å): 7.2580 4.0981 7.7174
angles (deg): 90.00 103.42 90.00
Space group C2/m (No. 12)
Asymmetric unit:
Li 0.0893 0.0000 0.3341 x4
Li 0.1942 0.5000 0.1098 x4
Se 0.1074 0.5000 0.7655 x4

Values from the calculation:
- calculated total energy (eV for the cell shown) = -45.1
- formation energy without anion corrections (eV per atom) = -1.16
- V (Å³/cell) = 223



Entry 5:
A relaxed Li3Se crystal, computed with PBEsol.

a b c (Å): 3.8797 3.8797 3.8797
angles (deg): 90.00 90.00 90.00
Space group Pm-3m (No. 221)
Asymmetric unit:
Li 0.0000 0.0000 0.5000 x3
Se 0.5000 0.5000 0.5000 x1

Values from the calculation:
- calculated total energy (eV for the cell shown) = -13.0
- formation energy without anion corrections (eV per atom) = -0.81
- V (Å³/cell) = 58



Entry 6:
A relaxed Li2Se crystal, computed with PBEsol.

a b c (Å): 4.1324 7.2024 6.6436
angles (deg): 90.00 90.00 90.00
Space group Cmc2_1 (No. 36)
Asymmetric unit:
Li 0.0000 0.0025 0.0000 x4
Li 0.0000 0.3326 0.2300 x4
Se 0.0000 0.3351 0.8388 x4

Values from the calculation:
- calculated total energy (eV for the cell shown) = -45.4
- formation energy without anion corrections (eV per atom) = -1.19
- V (Å³/cell) = 198



Entry 7:
A relaxed Li2ZnSiSe crystal, computed with PBEsol.

a b c (Å): 4.7869 4.7869 4.2906
angles (deg): 90.00 90.00 90.00
Space group P4/mmm (No. 123)
Asymmetric unit:
Li 0.0000 0.5000 0.0000 x2
Zn 0.0000 0.0000 0.0000 x1
Si 0.0000 0.0000 0.5000 x1
Se 0.5000 0.5000 0.5000 x1

Values from the calculation:
- calculated total energy (eV for the cell shown) = -14.3
- formation energy without anion corrections (eV per atom) = 0.17
- V (Å³/cell) = 98



Entry 8:
A relaxed Li3SnSe crystal, computed with PBEsol.

a b c (Å): 4.7455 4.7455 4.7455
angles (deg): 90.00 90.00 90.00
Space group Pm-3m (No. 221)
Asymmetric unit:
Li 0.0000 0.0000 0.5000 x3
Sn 0.5000 0.5000 0.5000 x1
Se 0.0000 0.0000 0.0000 x1

Values from the calculation:
- calculated total energy (eV for the cell shown) = -16.5
- formation energy without anion corrections (eV per atom) = -0.49
- V (Å³/cell) = 107



Entry 9:
A relaxed Sr2LiSe crystal, computed with PBEsol.

a b c (Å): 4.4818 4.4818 12.4653
angles (deg): 90.00 90.00 90.00
Space group I-4m2 (No. 119)
Asymmetric unit:
Sr 0.0000 0.0000 0.0000 x2
Sr 0.0000 0.5000 0.2500 x2
Li 0.0000 0.0000 0.5000 x2
Se 0.0000 0.5000 0.7500 x2

Values from the calculation:
- calculated total energy (eV for the cell shown) = -24.2
- formation energy without anion corrections (eV per atom) = -0.65
- V (Å³/cell) = 250



Entry 10:
A relaxed SrLi2Se crystal, computed with PBEsol.

a b c (Å): 7.3167 7.3167 7.3167
angles (deg): 90.00 90.00 90.00
Space group F-43m (No. 216)
Asymmetric unit:
Sr 0.0000 0.0000 0.0000 x4
Li 0.0000 0.0000 0.5000 x4
Li 0.2500 0.2500 0.2500 x4
Se 0.2500 0.2500 0.7500 x4

Values from the calculation:
- calculated total energy (eV for the cell shown) = -47.4
- formation energy without anion corrections (eV per atom) = -0.56
- V (Å³/cell) = 392



Entry 11:
A relaxed Sr3LiSe crystal, computed with PBEsol.

a b c (Å): 5.8034 5.8034 5.8034
angles (deg): 90.00 90.00 90.00
Space group Pm-3m (No. 221)
Asymmetric unit:
Sr 0.0000 0.0000 0.5000 x3
Li 0.0000 0.0000 0.0000 x1
Se 0.5000 0.5000 0.5000 x1

Values from the calculation:
- calculated total energy (eV for the cell shown) = -11.6
- formation energy without anion corrections (eV per atom) = -0.04
- V (Å³/cell) = 195



Entry 12:
A relaxed SrLiSe crystal, computed with PBEsol.

a b c (Å): 3.7169 3.7169 10.6976
angles (deg): 90.00 90.00 90.00
Space group I4mm (No. 107)
Asymmetric unit:
Sr 0.0000 0.0000 0.0000 x2
Li 0.0000 0.0000 0.7292 x2
Se 0.0000 0.0000 0.3199 x2

Values from the calculation:
- calculated total energy (eV for the cell shown) = -21.1
- formation energy without anion corrections (eV per atom) = -0.96
- V (Å³/cell) = 148



Q: The lowest V belongs to which entry?
A: Li3Se



Q: Which of these has the highest V?
A: SrLi2Se



Q: Number 2 is which compound?
A: LiSe2